The following is a PBE-GGA calculation of an optimized crystal structure of BaSrCa2Cu, from Alexandria via LeMat-Bulk.

Geometry as POSCAR:
```
BaSrCa2Cu
1.0
-0.4191 4.6358 3.6168
-3.7751 -2.9920 3.3976
4.6474 -2.1390 3.2801
Sr Cu Ca Ba
1 1 2 1
Direct
0.0000 0.0000 0.5000 Sr
0.0000 0.0000 0.0000 Cu
0.0000 0.5000 0.0000 Ca
0.5000 0.0000 0.0000 Ca
0.5000 0.5000 0.5000 Ba
```

Results
Calculated volume ... 211.2 Å³/f.u.
SG ... No. 123
Raw total energy ... -11.8 eV per formula unit
Formation energy ... -0.01 eV per atom
Distance to the lowest polymorph of the same formula ... 0.0 meV per atom